Record 1
Compound: DyTmMgCo
Source: Alexandria
Functional: PBE
Structure: optimized geometry

```
data_DyTmMgCo
_symmetry_space_group_name_H-M 'P 1'
_symmetry_Int_Tables_number 1
_symmetry_space_group_name_Hall 'P 1'
_cell_length_a 3.372
_cell_length_b 3.372
_cell_length_c 8.038
_cell_angle_alpha 90.00
_cell_angle_beta 90.00
_cell_angle_gamma 90.00
loop_
_atom_site_label
_atom_site_fract_x
_atom_site_fract_y
_atom_site_fract_z
Tm1 0.500 0.500 0.371
Dy1 0.500 0.500 0.772
Mg1 0.000 0.000 0.075
Co1 0.000 0.000 0.567
```

Values from the calculation:
Energy above the lowest structure with this stoichiometry in meV/atom: 0
Size of the total moment in μB/f.u.: 0.74
Total DFT energy (no corrections) in eV per cell: -18.4
Calculated formation energy in meV/atom: -157
Crystal system: tetragonal



Record 2
Compound: Nd2PaRh2
Source: Alexandria
Functional: PBE
Structure: optimized geometry

```
data_Nd2PaRh2
_symmetry_space_group_name_H-M 'P 1'
_symmetry_Int_Tables_number 1
_symmetry_space_group_name_Hall 'P 1'
_cell_length_a 6.421
_cell_length_b 6.421
_cell_length_c 7.277
_cell_angle_alpha 80.65
_cell_angle_beta 80.65
_cell_angle_gamma 59.18
loop_
_atom_site_label
_atom_site_fract_x
_atom_site_fract_y
_atom_site_fract_z
Pa1 0.917 0.083 0.750
Pa2 0.083 0.917 0.250
Nd1 0.460 0.239 0.145
Nd2 0.239 0.460 0.645
Nd3 0.761 0.540 0.355
Nd4 0.540 0.761 0.855
Rh1 0.283 0.003 0.486
Rh2 0.003 0.283 0.986
Rh3 0.997 0.717 0.014
Rh4 0.717 0.997 0.514
```

Values from the calculation:
Size of the total moment in μB/f.u.: 0.00
Total DFT energy (no corrections) in eV per cell: -74.2
Calculated formation energy in meV/atom: -672
Crystal system: monoclinic



Record 3
Compound: SrBPd4
Source: Alexandria
Functional: PBE
Structure: optimized geometry

```
data_SrBPd4
_symmetry_space_group_name_H-M 'P 1'
_symmetry_Int_Tables_number 1
_symmetry_space_group_name_Hall 'P 1'
_cell_length_a 5.586
_cell_length_b 6.141
_cell_length_c 12.010
_cell_angle_alpha 90.00
_cell_angle_beta 90.00
_cell_angle_gamma 90.00
loop_
_atom_site_label
_atom_site_fract_x
_atom_site_fract_y
_atom_site_fract_z
Pd1 0.250 0.615 0.733
Pd2 0.750 0.885 0.233
Pd3 0.750 0.561 0.058
Pd4 0.750 0.385 0.267
Pd5 0.003 0.837 0.915
Pd6 0.503 0.163 0.085
Pd7 0.997 0.663 0.415
Pd8 0.003 0.337 0.585
Pd9 0.250 0.939 0.558
Pd10 0.997 0.163 0.085
Pd11 0.250 0.115 0.767
Pd12 0.503 0.663 0.415
Pd13 0.750 0.061 0.442
Pd14 0.250 0.439 0.942
Pd15 0.497 0.337 0.585
Pd16 0.497 0.837 0.915
B1 0.250 0.599 0.552
B2 0.250 0.099 0.948
B3 0.750 0.401 0.448
B4 0.750 0.901 0.052
Sr1 0.250 0.688 0.161
Sr2 0.250 0.188 0.339
Sr3 0.750 0.312 0.839
Sr4 0.750 0.812 0.661
```

Values from the calculation:
Size of the total moment in μB/f.u.: 0.00
Total DFT energy (no corrections) in eV per cell: -129.2
Calculated formation energy in meV/atom: -528
Crystal system: orthorhombic



Record 4
Compound: CsGeTeN2
Source: Alexandria
Functional: PBE
Structure: optimized geometry

```
data_CsGeTeN2
_symmetry_space_group_name_H-M 'P 1'
_symmetry_Int_Tables_number 1
_symmetry_space_group_name_Hall 'P 1'
_cell_length_a 4.459
_cell_length_b 4.459
_cell_length_c 7.626
_cell_angle_alpha 90.00
_cell_angle_beta 90.00
_cell_angle_gamma 90.00
loop_
_atom_site_label
_atom_site_fract_x
_atom_site_fract_y
_atom_site_fract_z
N1 0.000 0.500 0.000
N2 0.500 0.000 0.000
Ge1 0.500 0.500 0.500
Te1 0.000 0.000 0.500
Cs1 0.000 0.000 0.000
```

Values from the calculation:
Formation energy (no corrections) in kJ/mol of atoms: 211.1
Energy above the lowest structure with this stoichiometry in meV/atom: 908
Size of the total moment in μB/f.u.: 2.11
Total DFT energy (no corrections) in eV per cell: -14.3
Crystal system: tetragonal



Record 5
Compound: LaZr2P
Source: Alexandria
Functional: PBE
Structure: optimized geometry

```
data_LaZr2P
_symmetry_space_group_name_H-M 'P 1'
_symmetry_Int_Tables_number 1
_symmetry_space_group_name_Hall 'P 1'
_cell_length_a 4.502
_cell_length_b 4.502
_cell_length_c 4.215
_cell_angle_alpha 90.00
_cell_angle_beta 90.00
_cell_angle_gamma 90.00
loop_
_atom_site_label
_atom_site_fract_x
_atom_site_fract_y
_atom_site_fract_z
Zr1 0.000 0.500 0.000
Zr2 0.500 0.000 0.000
P1 0.000 0.000 0.500
La1 0.500 0.500 0.500
```

Values from the calculation:
Size of the total moment in μB/f.u.: 0.00
Total DFT energy (no corrections) in eV per cell: -28.6
Calculated formation energy in meV/atom: -281
Crystal system: tetragonal



Record 6
Compound: MgTlCu2
Source: Alexandria
Functional: PBE
Structure: optimized geometry

```
data_MgTlCu2
_symmetry_space_group_name_H-M 'P 1'
_symmetry_Int_Tables_number 1
_symmetry_space_group_name_Hall 'P 1'
_cell_length_a 4.802
_cell_length_b 4.802
_cell_length_c 4.851
_cell_angle_alpha 76.60
_cell_angle_beta 76.60
_cell_angle_gamma 40.63
loop_
_atom_site_label
_atom_site_fract_x
_atom_site_fract_y
_atom_site_fract_z
Cu1 0.507 0.507 0.461
Cu2 0.993 0.993 0.039
Tl1 0.750 0.750 0.750
Mg1 0.250 0.250 0.250
```

Values from the calculation:
Size of the total moment in μB/f.u.: 0.00
Total DFT energy (no corrections) in eV per cell: -11.4
Calculated formation energy in meV/atom: 182
Crystal system: monoclinic



Record 7
Compound: AgTeOs2
Source: Alexandria
Functional: PBE
Structure: optimized geometry

```
data_AgTeOs2
_symmetry_space_group_name_H-M 'P 1'
_symmetry_Int_Tables_number 1
_symmetry_space_group_name_Hall 'P 1'
_cell_length_a 8.739
_cell_length_b 8.739
_cell_length_c 8.739
_cell_angle_alpha 20.09
_cell_angle_beta 20.09
_cell_angle_gamma 20.09
loop_
_atom_site_label
_atom_site_fract_x
_atom_site_fract_y
_atom_site_fract_z
Os1 0.505 0.505 0.505
Os2 0.995 0.995 0.995
Te1 0.250 0.250 0.250
Ag1 0.750 0.750 0.750
```

Values from the calculation:
Formation energy (no corrections) in kJ/mol of atoms: 93.5
Size of the total moment in μB/f.u.: 0.00
Total DFT energy (no corrections) in eV per cell: -24.6
Crystal system: trigonal